MnSnP2O: optimized geometry, PBE with a Hubbard U.

The structure in POSCAR format:
```
MnSnP2O
1.0
-5.1164 0.6663 0.3783
0.2416 -1.0208 5.0660
0.5486 3.7933 0.7382
P Mn Sn O
2 1 1 1
direct
0.0000 0.5000 0.0000
0.5000 0.0000 0.0000
0.5000 0.5000 0.5000
0.0000 0.0000 0.0000
0.0000 0.0000 0.5000
```

Output
Polymorph energy (0 for the lowest one) (meV per atom): 357
SG: No. 123